(1)
# CdFePb3 | the Alexandria database | GGA-PBE | optimized geometry
data_CdFePb3
_chemical_formula_sum 'Cd1 Fe1 Pb3'
_cell_length_a 5.1951
_cell_length_b 5.1951
_cell_length_c 5.1951
_cell_angle_alpha 90.00
_cell_angle_beta 90.00
_cell_angle_gamma 90.00
_symmetry_space_group_name_H-M 'P m -3 m'
_symmetry_Int_Tables_number 221
_symmetry_space_group_name_Hall '-P 4 2 3'
loop_
_atom_site_label
_atom_site_fract_x
_atom_site_fract_y
_atom_site_fract_z
Cd1 0.0000 0.0000 0.0000
Fe1 0.5000 0.5000 0.5000
Pb1 0.0000 0.5000 0.5000
# Relative energy among the computed polymorphs in meV/atom: 0
# Density in g cm⁻³: 9.4
# Energy of formation from the pure elements in meV per atom: 272

(2)
# CdFe2Pb | the Alexandria database | GGA-PBE | optimized geometry
data_CdFe2Pb
_chemical_formula_sum 'Cd1 Fe2 Pb1'
_cell_length_a 3.0061
_cell_length_b 4.0543
_cell_length_c 6.1800
_cell_angle_alpha 90.00
_cell_angle_beta 100.38
_cell_angle_gamma 90.00
_symmetry_space_group_name_H-M 'P 1 2/m 1'
_symmetry_Int_Tables_number 10
_symmetry_space_group_name_Hall '-P 2y'
loop_
_atom_site_label
_atom_site_fract_x
_atom_site_fract_y
_atom_site_fract_z
Cd1 0.0000 0.0000 0.0000
Fe1 0.4422 0.5000 0.7957
Pb1 0.0000 0.0000 0.5000
# Relative energy among the computed polymorphs in meV/atom: 242
# Density in g cm⁻³: 9.7
# Energy of formation from the pure elements in meV per atom: 550

(3)
# Cd4FePb | the Alexandria database | GGA-PBE | optimized geometry
data_Cd4FePb
_chemical_formula_sum 'Cd16 Fe4 Pb4'
_cell_length_a 8.1845
_cell_length_b 8.1845
_cell_length_c 8.1845
_cell_angle_alpha 90.00
_cell_angle_beta 90.00
_cell_angle_gamma 90.00
_symmetry_space_group_name_H-M 'F -4 3 m'
_symmetry_Int_Tables_number 216
_symmetry_space_group_name_Hall 'F -4 2 3'
loop_
_atom_site_label
_atom_site_fract_x
_atom_site_fract_y
_atom_site_fract_z
Cd1 0.1243 0.1243 0.1243
Fe1 0.2500 0.2500 0.7500
Pb1 0.0000 0.0000 0.5000
# Density in g cm⁻³: 8.6
# Energy of formation from the pure elements in meV per atom: 404

(4)
# CdFe2Pb | the Alexandria database | GGA-PBE | optimized geometry
data_CdFe2Pb
_chemical_formula_sum 'Cd2 Fe4 Pb2'
_cell_length_a 5.9914
_cell_length_b 7.4241
_cell_length_c 3.2000
_cell_angle_alpha 90.00
_cell_angle_beta 90.21
_cell_angle_gamma 90.00
_symmetry_space_group_name_H-M 'C 1 2/m 1'
_symmetry_Int_Tables_number 12
_symmetry_space_group_name_Hall '-C 2y'
loop_
_atom_site_label
_atom_site_fract_x
_atom_site_fract_y
_atom_site_fract_z
Cd1 0.0000 0.0000 0.0000
Fe1 0.2500 0.2500 0.5000
Pb1 0.0000 0.5000 0.0000
# Relative energy among the computed polymorphs in meV/atom: 270
# Density in g cm⁻³: 10.1
# Energy of formation from the pure elements in meV per atom: 579

(5)
# CdFe2Pb | the Alexandria database | GGA-PBE | optimized geometry
data_CdFe2Pb
_chemical_formula_sum 'Cd3 Fe6 Pb3'
_cell_length_a 3.0766
_cell_length_b 3.0766
_cell_length_c 27.0889
_cell_angle_alpha 90.00
_cell_angle_beta 90.00
_cell_angle_gamma 120.00
_symmetry_space_group_name_H-M 'R -3 m'
_symmetry_Int_Tables_number 166
_symmetry_space_group_name_Hall '-R 3 2"'
loop_
_atom_site_label
_atom_site_fract_x
_atom_site_fract_y
_atom_site_fract_z
Cd1 0.0000 0.0000 0.0000
Fe1 0.0000 0.0000 0.2516
Pb1 0.0000 0.0000 0.5000
# Relative energy among the computed polymorphs in meV/atom: 313
# Density in g cm⁻³: 9.7
# Energy of formation from the pure elements in meV per atom: 622

(6)
# Cd2FePb | the Alexandria database | GGA-PBE | optimized geometry
data_Cd2FePb
_chemical_formula_sum 'Cd4 Fe2 Pb2'
_cell_length_a 5.7748
_cell_length_b 9.2985
_cell_length_c 3.2371
_cell_angle_alpha 90.00
_cell_angle_beta 91.15
_cell_angle_gamma 90.00
_symmetry_space_group_name_H-M 'C 1 2/m 1'
_symmetry_Int_Tables_number 12
_symmetry_space_group_name_Hall '-C 2y'
loop_
_atom_site_label
_atom_site_fract_x
_atom_site_fract_y
_atom_site_fract_z
Cd1 0.2500 0.2500 0.0000
Fe1 0.0000 0.0000 0.5000
Pb1 0.0000 0.5000 0.5000
# Density in g cm⁻³: 9.3
# Energy of formation from the pure elements in meV per atom: 423

(7)
# Cd2FePb | the Alexandria database | GGA-PBE | optimized geometry
data_Cd2FePb
_chemical_formula_sum 'Cd4 Fe2 Pb2'
_cell_length_a 3.0084
_cell_length_b 4.6396
_cell_length_c 13.2148
_cell_angle_alpha 90.00
_cell_angle_beta 90.00
_cell_angle_gamma 90.00
_symmetry_space_group_name_H-M 'I m m 2'
_symmetry_Int_Tables_number 44
_symmetry_space_group_name_Hall 'I 2 -2'
loop_
_atom_site_label
_atom_site_fract_x
_atom_site_fract_y
_atom_site_fract_z
Cd1 0.0000 0.0000 0.0000
Cd2 0.0000 0.5000 0.1689
Fe1 0.0000 0.5000 0.6761
Pb1 0.0000 0.0000 0.3608
# Density in g cm⁻³: 8.8
# Energy of formation from the pure elements in meV per atom: 294

(8)
# Cd2FePb2 | the Alexandria database | GGA-PBE | optimized geometry
data_Cd2FePb2
_chemical_formula_sum 'Cd4 Fe2 Pb4'
_cell_length_a 7.3079
_cell_length_b 7.3079
_cell_length_c 4.8179
_cell_angle_alpha 90.00
_cell_angle_beta 90.00
_cell_angle_gamma 90.00
_symmetry_space_group_name_H-M 'P 4/m b m'
_symmetry_Int_Tables_number 127
_symmetry_space_group_name_Hall '-P 4 2ab'
loop_
_atom_site_label
_atom_site_fract_x
_atom_site_fract_y
_atom_site_fract_z
Cd1 0.1471 0.3529 0.0000
Fe1 0.0000 0.0000 0.5000
Pb1 0.1691 0.6691 0.5000
# Relative energy among the computed polymorphs in meV/atom: 0
# Density in g cm⁻³: 9.0
# Energy of formation from the pure elements in meV per atom: 452

(9)
# CdFe2Pb | the Alexandria database | GGA-PBE | optimized geometry
data_CdFe2Pb
_chemical_formula_sum 'Cd1 Fe2 Pb1'
_cell_length_a 3.0751
_cell_length_b 3.0751
_cell_length_c 7.5849
_cell_angle_alpha 90.00
_cell_angle_beta 90.00
_cell_angle_gamma 90.00
_symmetry_space_group_name_H-M 'P 4/m m m'
_symmetry_Int_Tables_number 123
_symmetry_space_group_name_Hall '-P 4 2'
loop_
_atom_site_label
_atom_site_fract_x
_atom_site_fract_y
_atom_site_fract_z
Cd1 0.0000 0.0000 0.0000
Fe1 0.5000 0.5000 0.2364
Pb1 0.0000 0.0000 0.5000
# Relative energy among the computed polymorphs in meV/atom: 286
# Density in g cm⁻³: 10.0
# Energy of formation from the pure elements in meV per atom: 595

(10)
# Cd2FePb | the Alexandria database | GGA-PBE | optimized geometry
data_Cd2FePb
_chemical_formula_sum 'Cd6 Fe3 Pb3'
_cell_length_a 3.1736
_cell_length_b 3.1736
_cell_length_c 30.1583
_cell_angle_alpha 90.00
_cell_angle_beta 90.00
_cell_angle_gamma 120.00
_symmetry_space_group_name_H-M 'R 3 m'
_symmetry_Int_Tables_number 160
_symmetry_space_group_name_Hall 'R 3 -2"'
loop_
_atom_site_label
_atom_site_fract_x
_atom_site_fract_y
_atom_site_fract_z
Cd1 0.0000 0.0000 0.0000
Cd2 0.0000 0.0000 0.2444
Fe1 0.0000 0.0000 0.7362
Pb1 0.0000 0.0000 0.4791
# Density in g cm⁻³: 9.2
# Energy of formation from the pure elements in meV per atom: 361

(11)
# Cd2FePb | the Alexandria database | GGA-PBE | optimized geometry
data_Cd2FePb
_chemical_formula_sum 'Cd8 Fe4 Pb4'
_cell_length_a 4.1236
_cell_length_b 4.1236
_cell_length_c 21.5146
_cell_angle_alpha 90.00
_cell_angle_beta 90.00
_cell_angle_gamma 90.00
_symmetry_space_group_name_H-M 'I -4 2 d'
_symmetry_Int_Tables_number 122
_symmetry_space_group_name_Hall 'I -4 2bw'
loop_
_atom_site_label
_atom_site_fract_x
_atom_site_fract_y
_atom_site_fract_z
Cd1 0.2321 0.2500 0.1250
Fe1 0.0000 0.0000 0.0000
Pb1 0.0000 0.0000 0.5000
# Density in g cm⁻³: 8.9
# Energy of formation from the pure elements in meV per atom: 491

(12)
# CdFe2Pb | the Alexandria database | GGA-PBE | optimized geometry
data_CdFe2Pb
_chemical_formula_sum 'Cd3 Fe6 Pb3'
_cell_length_a 3.1194
_cell_length_b 3.1194
_cell_length_c 27.5245
_cell_angle_alpha 90.00
_cell_angle_beta 90.00
_cell_angle_gamma 120.00
_symmetry_space_group_name_H-M 'R 3 m'
_symmetry_Int_Tables_number 160
_symmetry_space_group_name_Hall 'R 3 -2"'
loop_
_atom_site_label
_atom_site_fract_x
_atom_site_fract_y
_atom_site_fract_z
Cd1 0.0000 0.0000 0.0000
Fe1 0.0000 0.0000 0.4714
Fe2 0.0000 0.0000 0.7469
Pb1 0.0000 0.0000 0.2250
# Relative energy among the computed polymorphs in meV/atom: 111
# Density in g cm⁻³: 9.3
# Energy of formation from the pure elements in meV per atom: 419